A geometry-optimized BaZn3Co structure, computed with GGA-PBEsol.

Cell: 4.6830 4.6830 4.6830 Å, 90.00 90.00 90.00°
Sites, in units of the cell vectors:
Zn  0.0000  0.5000  0.0000
Zn  0.0000  0.0000  0.5000
Zn  0.5000  0.0000  0.0000
Co  0.0000  0.0000  0.0000
Ba  0.5000  0.5000  0.5000

Output
Energy relative to the elements, meV per atom: -70
Total moment, μB per atom: 0.000
Crystal system: cubic
Density of states at the Fermi level, states/eV per cell: 2.57